1.
Crystalline MnFe2W at its relaxed geometry. Source: Alexandria, functional PBE-GGA.

Calculated values
E ... -9.584 eV/atom
ΔE_f ... 178 meV/atom
DOS at the Fermi energy ... 4.798 states/eV/f.u.
Energy relative to the lowest polymorph listed for this composition ... 136 meV per atom

Cell: 4.445 4.445 4.512 Å, 100.18 100.18 34.17°
Fractional positions:
Mn 0.000 0.000 0.000
Fe 0.260 0.260 0.799
Fe 0.515 0.515 0.548
W 0.757 0.757 0.295



2.
Crystalline TiV6Re5 at its relaxed geometry. Source: Alexandria, functional PBE-GGA.

Calculated values
E ... -10.744 eV/atom
ΔE_f ... -340 meV/atom
DOS at the Fermi energy ... 6.593 states/eV/f.u.

Cell: 7.451 7.451 7.451 Å, 146.41 131.74 60.08°
Fractional positions:
Ti 0.000 0.000 0.000
V 0.083 0.832 0.251
V 0.252 0.500 0.752
V 0.419 0.168 0.251
V 0.581 0.832 0.749
V 0.748 0.500 0.248
V 0.917 0.168 0.749
Re 0.166 0.666 0.500
Re 0.334 0.334 0.000
Re 0.500 0.000 0.500
Re 0.666 0.666 0.000
Re 0.834 0.334 0.500



3.
Crystalline Sr2Tl3OsO6 at its relaxed geometry. Source: Alexandria, functional PBE-GGA.

Calculated values
E ... -5.720 eV/atom
DOS at the Fermi energy ... 2.808 states/eV/f.u.
Raw formation energy ... -1434 meV/atom

Cell: 6.151 6.151 6.691 Å, 98.16 98.16 119.92°
Fractional positions:
Sr 0.168 0.832 0.000
Sr 0.832 0.168 0.000
Tl 0.000 0.000 0.500
Tl 0.337 0.663 0.500
Tl 0.663 0.337 0.500
Os 0.500 0.500 0.000
O 0.173 0.440 0.829
O 0.295 0.295 0.193
O 0.440 0.173 0.829
O 0.560 0.827 0.171
O 0.705 0.705 0.807
O 0.827 0.560 0.171



4.
Crystalline Rb3Ag4Se4 at its relaxed geometry. Source: Alexandria, functional PBE-GGA.

Calculated values
E ... -3.107 eV/atom
DOS at the Fermi energy ... 5.887 states/eV/f.u.
Raw formation energy ... -539 meV/atom

Cell: 7.416 7.416 7.416 Å, 109.47 109.47 109.47°
Fractional positions:
Rb 0.000 0.500 0.500
Rb 0.500 0.000 0.500
Rb 0.500 0.500 0.000
Ag 0.000 0.000 0.728
Ag 0.000 0.728 0.000
Ag 0.272 0.272 0.272
Ag 0.728 0.000 0.000
Se 0.000 0.000 0.363
Se 0.000 0.363 0.000
Se 0.363 0.000 0.000
Se 0.637 0.637 0.637



5.
Crystalline LiMg2Te at its relaxed geometry. Source: Alexandria, functional PBE-GGA.

Calculated values
E ... -2.412 eV/atom
DOS at the Fermi energy ... 1.048 states/eV/f.u.
Raw formation energy ... -351 meV/atom

Cell: 4.289 4.268 5.015 Å, 90.00 91.77 90.00°
Fractional positions:
Li 0.000 0.000 0.000
Mg 0.000 0.500 0.500
Mg 0.500 0.000 0.500
Te 0.500 0.500 0.000



6.
Crystalline ScIr at its relaxed geometry. Source: Alexandria, functional PBE-GGA.

Calculated values
E ... -7.347 eV/atom
ΔE_f ... 250 meV/atom

Cell: 4.174 4.174 4.174 Å, 60.00 60.00 60.00°
Fractional positions:
Sc 0.000 0.000 0.000
Ir 0.250 0.250 0.250



7.
Crystalline Rb2ScSbF at its relaxed geometry. Source: Alexandria, functional PBE-GGA.

Calculated values
E ... -3.489 eV/atom
DOS at the Fermi energy ... 5.529 states/eV/f.u.
Raw formation energy ... -637 meV/atom

Cell: 7.211 7.211 3.985 Å, 90.00 90.00 90.00°
Fractional positions:
Rb 0.000 0.500 0.000
Rb 0.500 0.000 0.000
Sc 0.000 0.000 0.000
Sb 0.500 0.500 0.500
F 0.000 0.000 0.500



8.
Crystalline Pr2ErTl4 at its relaxed geometry. Source: Alexandria, functional PBE-GGA.

Calculated values
E ... -3.264 eV/atom
ΔE_f ... 106 meV/atom
DOS at the Fermi energy ... 10.669 states/eV/f.u.
Energy relative to the lowest polymorph listed for this composition ... 345 meV per atom

Cell: 8.980 8.980 8.980 Å, 142.63 142.63 53.88°
Fractional positions:
Pr 0.107 0.107 0.000
Pr 0.893 0.893 0.000
Er 0.500 0.500 0.000
Tl 0.000 0.500 0.500
Tl 0.309 0.309 0.000
Tl 0.500 0.000 0.500
Tl 0.691 0.691 0.000



9.
Crystalline SmZrRh4 at its relaxed geometry. Source: Alexandria, functional PBE-GGA.

Calculated values
E ... -7.720 eV/atom
ΔE_f ... -608 meV/atom
DOS at the Fermi energy ... 3.180 states/eV/f.u.

Cell: 5.304 5.304 5.304 Å, 60.00 60.00 60.00°
Fractional positions:
Sm 0.000 0.000 0.000
Zr 0.250 0.250 0.250
Rh 0.126 0.625 0.625
Rh 0.625 0.126 0.625
Rh 0.625 0.625 0.126
Rh 0.625 0.625 0.625



10.
Crystalline TlSn3Au at its relaxed geometry. Source: Alexandria, functional PBE-GGA.

Calculated values
E ... -3.269 eV/atom
ΔE_f ... 262 meV/atom
DOS at the Fermi energy ... 1.974 states/eV/f.u.
Energy relative to the lowest polymorph listed for this composition ... 309 meV per atom

Cell: 5.457 5.457 5.457 Å, 90.00 90.00 90.00°
Fractional positions:
Tl 0.000 0.000 0.000
Sn 0.000 0.500 0.500
Sn 0.500 0.000 0.500
Sn 0.500 0.500 0.000
Au 0.500 0.500 0.500



11.
Crystalline Mg2TlFe at its relaxed geometry. Source: Alexandria, functional PBE-GGA.

Calculated values
E ... -3.321 eV/atom
ΔE_f ... 184 meV/atom
DOS at the Fermi energy ... 2.554 states/eV/f.u.
Energy relative to the lowest polymorph listed for this composition ... 0 meV per atom

Cell: 3.188 3.129 7.980 Å, 90.00 90.24 90.00°
Fractional positions:
Mg 0.001 0.000 0.205
Mg 0.999 0.000 0.795
Tl 0.500 0.500 0.500
Fe 0.500 0.500 0.000



12.
Crystalline RbMg2TaAl at its relaxed geometry. Source: Alexandria, functional PBE-GGA.

Calculated values
E ... -2.997 eV/atom
ΔE_f ... 953 meV/atom
DOS at the Fermi energy ... 4.455 states/eV/f.u.

Cell: 5.355 5.355 5.161 Å, 90.00 90.00 90.00°
Fractional positions:
Rb 0.000 0.000 0.000
Mg 0.000 0.500 0.500
Mg 0.500 0.000 0.500
Ta 0.500 0.500 0.000
Al 0.500 0.500 0.500



13.
Crystalline CsThTcO6 at its relaxed geometry. Source: Alexandria, functional PBE-GGA.

Calculated values
E ... -7.519 eV/atom
Raw formation energy ... -2143 meV/atom

Cell: 5.764 5.764 6.552 Å, 90.00 90.00 120.00°
Fractional positions:
Cs 0.000 0.000 0.000
Th 0.333 0.667 0.500
Tc 0.667 0.333 0.500
O 0.412 0.048 0.668
O 0.412 0.364 0.332
O 0.636 0.048 0.332
O 0.636 0.588 0.668
O 0.952 0.364 0.668
O 0.952 0.588 0.332



14.
Crystalline HfZrCdHg at its relaxed geometry. Source: Alexandria, functional PBE-GGA.

Calculated values
E ... -4.971 eV/atom
ΔE_f ... -41 meV/atom
DOS at the Fermi energy ... 2.501 states/eV/f.u.

Cell: 3.257 3.257 9.907 Å, 90.06 90.06 60.02°
Fractional positions:
Hf 0.000 0.000 0.000
Zr 0.666 0.666 0.757
Cd 0.999 0.999 0.497
Hg 0.334 0.334 0.246



15.
Crystalline Re2SiPt at its relaxed geometry. Source: Alexandria, functional PBE-GGA.

Calculated values
E ... -9.222 eV/atom
DOS at the Fermi energy ... 2.716 states/eV/f.u.
Raw formation energy ... -132 meV/atom

Cell: 4.877 4.431 5.523 Å, 90.00 96.79 90.00°
Fractional positions:
Re 0.148 0.250 0.283
Re 0.320 0.750 0.496
Re 0.680 0.250 0.504
Re 0.852 0.750 0.717
Si 0.286 0.750 0.037
Si 0.714 0.250 0.963
Pt 0.225 0.250 0.797
Pt 0.775 0.750 0.203



16.
Crystalline YPaGeAu at its relaxed geometry. Source: Alexandria, functional PBE-GGA.

Calculated values
E ... -6.380 eV/atom
ΔE_f ... -416 meV/atom
DOS at the Fermi energy ... 8.616 states/eV/f.u.

Cell: 5.101 5.101 5.101 Å, 60.00 60.00 60.00°
Fractional positions:
Y 0.000 0.000 0.000
Pa 0.500 0.500 0.500
Ge 0.250 0.250 0.250
Au 0.750 0.750 0.750



17.
Crystalline HgH4Pd4 at its relaxed geometry. Source: Alexandria, functional PBE-GGA.

Calculated values
E ... -3.931 eV/atom
DOS at the Fermi energy ... 1.803 states/eV/f.u.

Cell: 5.610 5.610 5.610 Å, 95.06 95.06 145.45°
Fractional positions:
Hg 0.000 0.000 0.000
H 0.190 0.648 0.839
H 0.352 0.190 0.542
H 0.648 0.810 0.458
H 0.810 0.352 0.161
Pd 0.208 0.405 0.613
Pd 0.405 0.792 0.197
Pd 0.595 0.208 0.803
Pd 0.792 0.595 0.387



18.
Crystalline Ni2AgOs at its relaxed geometry. Source: Alexandria, functional PBE-GGA.

Calculated values
E ... -5.861 eV/atom
ΔE_f ... 550 meV/atom
DOS at the Fermi energy ... 4.753 states/eV/f.u.
Energy relative to the lowest polymorph listed for this composition ... 357 meV per atom

Cell: 4.759 4.759 4.759 Å, 134.44 134.44 66.40°
Fractional positions:
Ni 0.000 0.000 0.000
Ni 0.750 0.250 0.500
Ag 0.500 0.500 0.000
Os 0.250 0.750 0.500



19.
Crystalline Ta3Ti5Mo12 at its relaxed geometry. Source: Alexandria, functional PBE-GGA.

Calculated values
E ... -8.837 eV/atom
ΔE_f ... 1413 meV/atom
DOS at the Fermi energy ... 31.425 states/eV/f.u.

Cell: 13.093 13.093 13.093 Å, 109.47 109.47 109.47°
Fractional positions:
Ta 0.125 0.250 0.375
Ta 0.125 0.375 0.750
Ta 0.250 0.375 0.125
Ta 0.250 0.875 0.625
Ta 0.375 0.125 0.250
Ta 0.375 0.750 0.125
Ta 0.625 0.250 0.875
Ta 0.625 0.875 0.750
Ta 0.750 0.125 0.375
Ta 0.750 0.625 0.875
Ta 0.875 0.625 0.250
Ta 0.875 0.750 0.625
Ti 0.000 0.000 0.000
Ti 0.000 0.000 0.500
Ti 0.000 0.500 0.000
Ti 0.000 0.500 0.500
Ti 0.125 0.750 0.875
Ti 0.125 0.875 0.250
Ti 0.250 0.125 0.875
Ti 0.250 0.625 0.375
Ti 0.375 0.250 0.625
Ti 0.375 0.625 0.750
Ti 0.500 0.000 0.000
Ti 0.500 0.000 0.500
Ti 0.500 0.500 0.000
Ti 0.500 0.500 0.500
Ti 0.625 0.375 0.250
Ti 0.625 0.750 0.375
Ti 0.750 0.375 0.625
Ti 0.750 0.875 0.125
Ti 0.875 0.125 0.750
Ti 0.875 0.250 0.125
Mo 0.073 0.649 0.415
Mo 0.073 0.924 0.657
Mo 0.076 0.234 0.149
Mo 0.076 0.343 0.927
Mo 0.085 0.734 0.657
Mo 0.085 0.851 0.427
Mo 0.149 0.076 0.234
Mo 0.149 0.573 0.915
Mo 0.157 0.234 0.585
Mo 0.157 0.424 0.573
Mo 0.234 0.149 0.076
Mo 0.234 0.585 0.157
Mo 0.266 0.343 0.915
Mo 0.266 0.424 0.351
Mo 0.343 0.915 0.266
Mo 0.343 0.927 0.076
Mo 0.351 0.266 0.424
Mo 0.351 0.585 0.927
Mo 0.415 0.073 0.649
Mo 0.415 0.843 0.766
Mo 0.424 0.351 0.266
Mo 0.424 0.573 0.157
Mo 0.427 0.085 0.851
Mo 0.427 0.843 0.576
Mo 0.573 0.157 0.424
Mo 0.573 0.915 0.149
Mo 0.576 0.427 0.843
Mo 0.576 0.649 0.734
Mo 0.585 0.157 0.234
Mo 0.585 0.927 0.351
Mo 0.649 0.415 0.073
Mo 0.649 0.734 0.576
Mo 0.657 0.073 0.924
Mo 0.657 0.085 0.734
Mo 0.734 0.576 0.649
Mo 0.734 0.657 0.085
Mo 0.766 0.415 0.843
Mo 0.766 0.851 0.924
Mo 0.843 0.576 0.427
Mo 0.843 0.766 0.415
Mo 0.851 0.427 0.085
Mo 0.851 0.924 0.766
Mo 0.915 0.149 0.573
Mo 0.915 0.266 0.343
Mo 0.924 0.657 0.073
Mo 0.924 0.766 0.851
Mo 0.927 0.076 0.343
Mo 0.927 0.351 0.585



20.
Crystalline TbDy2ThSb4 at its relaxed geometry. Source: Alexandria, functional PBE-GGA.

Calculated values
E ... -5.811 eV/atom
DOS at the Fermi energy ... 1.721 states/eV/f.u.
Raw formation energy ... -1093 meV/atom

Cell: 7.649 4.430 7.653 Å, 90.00 109.49 90.00°
Fractional positions:
Tb 0.000 0.000 0.000
Dy 0.500 0.000 0.500
Dy 0.500 0.500 0.000
Th 0.000 0.500 0.500
Sb 0.253 0.500 0.248
Sb 0.256 0.000 0.756
Sb 0.744 0.000 0.244
Sb 0.747 0.500 0.752